Record 1
Material: CdTc3
Method: DFT, GGA-PBE
State: optimized geometry

Total moment = 0.0 μB/cell
Calculated volume = 64.0 Å³/f.u.
Mass density = 10.55 Mg/m³
Relative energy among the computed polymorphs = 213 meV/atom

The structure in CIF format:
```
data_CdTc3
_chemical_formula_sum 'Cd2 Tc6'
_cell_length_a 3.029
_cell_length_b 4.635
_cell_length_c 9.116
_cell_angle_alpha 90.00
_cell_angle_beta 90.00
_cell_angle_gamma 90.00
_symmetry_space_group_name_H-M 'I m m m'
_symmetry_Int_Tables_number 71
_symmetry_space_group_name_Hall '-I 2 2'
loop_
_atom_site_label
_atom_site_fract_x
_atom_site_fract_y
_atom_site_fract_z
Cd1 0.000 0.000 0.000
Tc1 0.000 0.000 0.500
Tc2 0.000 0.500 0.228
```

=====

Record 2
Material: Eu2ZrTiO6
Method: DFT, GGA-PBE
State: optimized geometry

Total moment = 55.8 μB/cell
Calculated volume = 133.7 Å³/f.u.
Mass density = 6.70 Mg/m³
Uncorrected formation energy = -3009 kJ/mol of formula units

The structure in CIF format:
```
data_Eu2ZrTiO6
_chemical_formula_sum 'Eu8 Zr4 Ti4 O24'
_cell_length_a 8.116
_cell_length_b 8.116
_cell_length_c 8.116
_cell_angle_alpha 90.00
_cell_angle_beta 90.00
_cell_angle_gamma 90.00
_symmetry_space_group_name_H-M 'F m -3 m'
_symmetry_Int_Tables_number 225
_symmetry_space_group_name_Hall '-F 4 2 3'
loop_
_atom_site_label
_atom_site_fract_x
_atom_site_fract_y
_atom_site_fract_z
Eu1 0.250 0.250 0.250
Zr1 0.000 0.000 0.000
Ti1 0.000 0.000 0.500
O1 0.000 0.000 0.258
```

=====

Record 3
Material: FeAsPC
Method: DFT, GGA-PBE
State: optimized geometry

Total moment = 0.8 μB/cell
Calculated volume = 50.5 Å³/f.u.
Mass density = 5.72 Mg/m³
Relative energy among the computed polymorphs = 233 meV/atom

The structure in CIF format:
```
data_FeAsPC
_chemical_formula_sum 'Fe2 As2 P2 C2'
_cell_length_a 7.921
_cell_length_b 3.207
_cell_length_c 5.162
_cell_angle_alpha 90.00
_cell_angle_beta 129.68
_cell_angle_gamma 90.00
_symmetry_space_group_name_H-M 'C 1 m 1'
_symmetry_Int_Tables_number 8
loop_
_symmetry_equiv_pos_as_xyz
'x,y,z'
'x,-y,z'
'x+1/2,y+1/2,z'
'x+1/2,-y+1/2,z'
loop_
_atom_site_label
_atom_site_fract_x
_atom_site_fract_y
_atom_site_fract_z
Fe1 0.000 0.000 0.000
As1 0.277 0.500 0.389
P1 0.226 0.000 0.829
C1 0.017 0.000 0.387
```

=====

Record 4
Material: BeReSe
Method: DFT, GGA-PBE
State: optimized geometry

Total moment = 0.0 μB/cell
Calculated volume = 39.4 Å³/f.u.
Mass density = 11.55 Mg/m³
Uncorrected formation energy = 84 kJ/mol of formula units
Relative energy among the computed polymorphs = 0 meV/atom

The structure in CIF format:
```
data_BeReSe
_chemical_formula_sum 'Be2 Re2 Se2'
_cell_length_a 3.127
_cell_length_b 3.127
_cell_length_c 8.060
_cell_angle_alpha 90.00
_cell_angle_beta 90.00
_cell_angle_gamma 90.00
_symmetry_space_group_name_H-M 'I 4 m m'
_symmetry_Int_Tables_number 107
_symmetry_space_group_name_Hall 'I 4 -2'
loop_
_atom_site_label
_atom_site_fract_x
_atom_site_fract_y
_atom_site_fract_z
Be1 0.000 0.000 0.000
Re1 0.000 0.000 0.356
Se1 0.000 0.000 0.670
```

=====

Record 5
Material: KAlIn2
Method: DFT, GGA-PBE
State: optimized geometry

Total moment = 0.0 μB/cell
Calculated volume = 157.9 Å³/f.u.
Mass density = 3.11 Mg/m³
Total DFT energy (no corrections) = -2.39 eV/atom

The structure in CIF format:
```
data_KAlIn2
_chemical_formula_sum 'K4 Al4 In8'
_cell_length_a 5.839
_cell_length_b 5.839
_cell_length_c 18.529
_cell_angle_alpha 90.00
_cell_angle_beta 90.00
_cell_angle_gamma 90.00
_symmetry_space_group_name_H-M 'I -4 2 d'
_symmetry_Int_Tables_number 122
_symmetry_space_group_name_Hall 'I -4 2bw'
loop_
_atom_site_label
_atom_site_fract_x
_atom_site_fract_y
_atom_site_fract_z
K1 0.000 0.000 0.000
Al1 0.000 0.000 0.500
In1 0.002 0.750 0.625
```

=====

Record 6
Material: TiCr3As
Method: DFT, GGA-PBE
State: optimized geometry

Total moment = 5.2 μB/cell
Calculated volume = 87.5 Å³/f.u.
Mass density = 5.29 Mg/m³
Relative energy among the computed polymorphs = 0 meV/atom

The structure in CIF format:
```
data_TiCr3As
_chemical_formula_sum 'Ti1 Cr3 As1'
_cell_length_a 4.440
_cell_length_b 4.440
_cell_length_c 4.440
_cell_angle_alpha 90.00
_cell_angle_beta 90.00
_cell_angle_gamma 90.00
_symmetry_space_group_name_H-M 'P m -3 m'
_symmetry_Int_Tables_number 221
_symmetry_space_group_name_Hall '-P 4 2 3'
loop_
_atom_site_label
_atom_site_fract_x
_atom_site_fract_y
_atom_site_fract_z
Ti1 0.000 0.000 0.000
Cr1 0.000 0.500 0.500
As1 0.500 0.500 0.500
```